[1]
A plane-wave DFT calculation with PBE was carried out for crystalline In2CuPdCl6 at its relaxed geometry.

Results
Its symmetry is Fm-3m (225). The calculation puts the calculated density at 4.4 Mg/m³. The value obtained for the calculated total energy is -3.142 eV per atom.

```
In2CuPdCl6
1.0
0.000 4.881 4.881
4.881 0.000 4.881
4.881 4.881 0.000
In Cu Pd Cl
2 1 1 6
Cartesian
2.441 2.441 2.441
7.322 7.322 7.322
0.000 0.000 0.000
4.881 4.881 4.881
4.881 4.881 2.429
4.881 2.429 4.881
7.333 4.881 4.881
2.429 4.881 4.881
4.881 7.333 4.881
4.881 4.881 7.333
```


[2]
A plane-wave DFT calculation with PBE was carried out for crystalline Er2Cd3Ni2 at its relaxed geometry.

Results
Its symmetry is Cmmm (65). The calculation puts the calculated density at 9.1 Mg/m³. The value obtained for the calculated total energy is -3.664 eV per atom.

```
Er2Cd3Ni2
1.0
1.952 -10.224 0.000
1.952 10.224 0.000
0.000 0.000 3.589
Er Cd Ni
2 3 2
Cartesian
1.952 6.672 0.000
1.952 -6.672 0.000
0.000 0.000 0.000
1.952 1.616 1.795
1.952 -1.616 1.795
1.952 4.375 1.795
1.952 -4.375 1.795
```


[3]
A plane-wave DFT calculation with PBE was carried out for crystalline PmTeAs at its relaxed geometry.

Results
Its symmetry is F-43m (216). The calculation puts the calculated density at 6.6 Mg/m³. The energy above the most stable polymorph in this dataset is 0 meV per atom. The value obtained for the calculated total energy is -4.737 eV per atom.

```
PmTeAs
1.0
0.000 3.530 3.530
3.530 0.000 3.530
3.530 3.530 0.000
Pm Te As
1 1 1
Cartesian
0.000 0.000 0.000
3.530 3.530 3.530
1.765 1.765 1.765
```